Entry 1:
{"formula": "PrSb2O6", "functional": "PBE", "state": "relaxed", "lattice": [[5.592, 0.000, 0.000], [0.000, 5.825, 0.000], [0.000, 0.000, 8.050]], "species": ["O", "O", "O", "O", "O", "O", "Pr", "O", "Sb", "O", "Pr", "Sb", "Sb", "O", "O", "O", "Sb", "O"], "fractional_positions": [[0.699, 0.053, 0.300], [0.199, 0.947, 0.800], [0.099, 0.232, 0.500], [0.599, 0.768, 0.000], [0.276, 0.477, 0.784], [0.936, 0.272, 0.000], [0.018, 0.682, 0.000], [0.699, 0.053, 0.700], [0.504, 0.764, 0.251], [0.436, 0.728, 0.500], [0.518, 0.318, 0.500], [0.504, 0.764, 0.749], [0.004, 0.236, 0.249], [0.276, 0.477, 0.216], [0.199, 0.947, 0.200], [0.776, 0.523, 0.716], [0.004, 0.236, 0.751], [0.776, 0.523, 0.284]], "crystal_system": "orthorhombic"}


Entry 2:
{"formula": "Pr2SbO2", "functional": "PBE", "state": "relaxed", "lattice": [[6.471, -0.003, -0.006], [-2.198, 6.086, -0.006], [-2.131, -3.034, 5.587]], "species": ["Pr", "O", "O", "Sb", "O", "Pr", "O", "Pr", "Pr", "Sb"], "fractional_positions": [[0.555, 0.945, 0.750], [0.243, 0.993, 0.486], [0.757, 0.007, 0.514], [0.125, 0.375, 0.250], [0.493, 0.743, 0.986], [0.195, 0.305, 0.750], [0.507, 0.257, 0.014], [0.445, 0.055, 0.250], [0.805, 0.695, 0.250], [0.875, 0.625, 0.750]], "de_polymorph_kj_per_mol_atoms": 15.22, "crystal_system": "orthorhombic"}


Entry 3:
{"formula": "PrSmSbO2", "functional": "PBE", "state": "relaxed", "lattice": [[-3.764, -1.144, 0.659], [-0.223, -1.411, -3.724], [4.247, -4.872, 3.728]], "species": ["O", "Sm", "Pr", "Sb", "O"], "fractional_positions": [[0.748, 0.248, 0.495], [0.165, 0.165, 0.330], [0.838, 0.838, 0.675], [0.502, 0.502, 0.004], [0.248, 0.748, 0.495]], "crystal_system": "tetragonal"}


Entry 4:
{"formula": "PrSm2SbO8", "functional": "PBE", "state": "relaxed", "lattice": [[4.210, -0.168, -0.002], [-0.152, 5.340, -0.005], [0.004, 0.008, 7.486]], "species": ["Sm", "Sb", "Sm", "O", "O", "O", "O", "O", "O", "O", "O", "Pr"], "fractional_positions": [[0.500, 0.500, 0.756], [0.000, 0.000, 0.000], [0.500, 0.500, 0.244], [0.953, 0.243, 0.791], [0.576, 0.802, 0.000], [0.047, 0.757, 0.209], [0.505, 0.747, 0.500], [0.953, 0.243, 0.209], [0.047, 0.757, 0.791], [0.495, 0.253, 0.500], [0.424, 0.198, 0.000], [0.000, 0.000, 0.500]], "crystal_system": "monoclinic"}


no.,formation energy (no corrections) (kJ/mol of formula units)
1,-1590.4
2,-1164.1
3,-1252.6
4,-2780.6